The following is a DFT calculation (PBE) of crystalline TbYS3 at its relaxed geometry.

Computed properties:
Formation energy from raw total energies: -2063 meV/atom
Electronic total energy: -6.76 eV/atom
Total magnetic moment: 0.00 Bohr magnetons per cell

Lattice parameters (Å, degrees): 6.9363 6.9363 18.5601 90.00 90.00 120.00
Space group R-3 (No. 148, hexagonal axes)
Inequivalent atoms, fractional coordinates:
Tb: 0.0000 0.0000 0.1489 x6
Y: 0.0000 0.0000 0.3503 x6
S: 0.0013 0.7003 0.2501 x18